No. 1
Computed, not measured: crystalline MgAsSe3 at its relaxed geometry at the GGA-PBEsol level of DFT.

Results
ΔE_f (raw): 0.392 eV/atom
Final energy: -16.415 eV/cell
SG: Pm-3m
M_tot: 0.001 μB per formula unit
D(E_F): 4.58 states/eV/f.u.
Volume: 117.0 Å³/cell
Crystal system: cubic

```
data_MgAsSe3
_cell_length_a 4.891
_cell_length_b 4.891
_cell_length_c 4.891
_cell_angle_alpha 90.00
_cell_angle_beta 90.00
_cell_angle_gamma 90.00
_symmetry_space_group_name_H-M 'P 1'
_symmetry_Int_Tables_number 1
loop_
_symmetry_equiv_pos_as_xyz
'x,y,z'
loop_
_atom_site_label
_atom_site_fract_x
_atom_site_fract_y
_atom_site_fract_z
As1 0.500 0.500 0.500
Mg1 0.000 0.000 0.000
Se1 0.000 0.500 0.000
Se2 0.000 0.000 0.500
Se3 0.500 0.000 0.000
```

=====

No. 2
Computed, not measured: crystalline InHgSb2 at its relaxed geometry at the GGA-PBEsol level of DFT.

Results
ΔE_f (raw): 0.089 eV/atom
Final energy: -12.309 eV/cell
SG: Pmmm
M_tot: 0.000 μB per formula unit
D(E_F): 1.86 states/eV/f.u.
Volume: 101.8 Å³/cell
Crystal system: orthorhombic

```
data_InHgSb2
_cell_length_a 3.909
_cell_length_b 5.019
_cell_length_c 5.188
_cell_angle_alpha 90.00
_cell_angle_beta 90.00
_cell_angle_gamma 90.00
_symmetry_space_group_name_H-M 'P 1'
_symmetry_Int_Tables_number 1
loop_
_symmetry_equiv_pos_as_xyz
'x,y,z'
loop_
_atom_site_label
_atom_site_fract_x
_atom_site_fract_y
_atom_site_fract_z
Hg1 0.500 0.000 0.500
In1 0.000 0.500 0.500
Sb1 0.000 0.000 0.000
Sb2 0.500 0.500 0.000
```